1.
An optimized crystal structure of GdNi3, computed with PBE.

Properties
DFT formation energy: -0.10 eV/atom
crystal system: cubic
VASP energy: -5.442 eV/atom

```
data_GdNi3
_space_group_name_H-M_alt 'F m -3 m'
_space_group_IT_number 225
_space_group_name_Hall '-F 4 2 3'
_cell_length_a 6.179
_cell_length_b 6.179
_cell_length_c 6.179
_cell_angle_alpha 90.00
_cell_angle_beta 90.00
_cell_angle_gamma 90.00
loop_
_atom_site_label
_atom_site_type_symbol
_atom_site_fract_x
_atom_site_fract_y
_atom_site_fract_z
_atom_site_occupancy
Gd1 Gd 0.000 0.000 0.000 1
Ni1 Ni 0.000 0.000 0.500 1
Ni2 Ni 0.250 0.250 0.250 1
```

***

2.
An optimized crystal structure of TbYBr3N, computed with PBE.

Properties
ΔE to the lowest computed polymorph: 0.0 meV per atom
crystal system: monoclinic
VASP energy: -5.911 eV/atom

```
data_TbYBr3N
_space_group_name_H-M_alt 'C 1 2/m 1'
_space_group_IT_number 12
_cell_length_a 18.341
_cell_length_b 3.885
_cell_length_c 11.626
_cell_angle_alpha 90.00
_cell_angle_beta 125.00
_cell_angle_gamma 90.00
loop_
_space_group_symop_operation_xyz
'x,y,z'
'-x,-y,-z'
'-x,y,-z'
'x,-y,z'
'x+1/2,y+1/2,z'
'-x+1/2,-y+1/2,-z'
'-x+1/2,y+1/2,-z'
'x+1/2,-y+1/2,z'
loop_
_atom_site_label
_atom_site_type_symbol
_atom_site_fract_x
_atom_site_fract_y
_atom_site_fract_z
_atom_site_occupancy
Tb1 Tb 0.136 0.000 0.285 1
Y1 Y 0.074 0.500 0.960 1
Br1 Br 0.037 0.000 0.748 1
Br2 Br 0.169 0.500 0.511 1
Br3 Br 0.215 0.000 0.118 1
N1 N 0.075 0.500 0.154 1
```

***

3.
An optimized crystal structure of ScAlFeAg, computed with PBE.

Properties
ΔE to the lowest computed polymorph: 0.0 meV per atom
crystal system: cubic
VASP energy: -5.447 eV/atom

```
data_ScAlFeAg
_space_group_name_H-M_alt 'F -4 3 m'
_space_group_IT_number 216
_space_group_name_Hall 'F -4 2 3'
_cell_length_a 6.334
_cell_length_b 6.334
_cell_length_c 6.334
_cell_angle_alpha 90.00
_cell_angle_beta 90.00
_cell_angle_gamma 90.00
loop_
_atom_site_label
_atom_site_type_symbol
_atom_site_fract_x
_atom_site_fract_y
_atom_site_fract_z
_atom_site_occupancy
Sc1 Sc 0.000 0.000 0.000 1
Al1 Al 0.000 0.000 0.500 1
Fe1 Fe 0.250 0.250 0.750 1
Ag1 Ag 0.250 0.250 0.250 1
```

***

| no. | total magnetic moment (μB per cell) |
| --- | --- |
| 1 | 0.156 |
| 2 | 0.000 |
| 3 | 3.876 |